No. 1
The following is a PBE calculation of an optimized crystal structure of CeTh2Ag2Sn2, from the Alexandria database.

Geometry as extended XYZ:
```
7
Lattice="-3.148 1.192 3.579 0.267 -2.253 4.358 4.803 6.025 5.590" Properties=species:S:1:pos:R:3 pbc="T T T"
Ce 0.000 0.000 0.000
Th 2.569 3.552 4.449
Th -0.647 1.412 9.078
Ag -0.658 0.691 5.937
Ag 2.579 4.273 7.590
Sn 1.726 4.039 10.291
Sn 0.195 0.925 3.236
```

Summary:
final energy: -5.11 eV per atom

No. 2
The following is a PBE calculation of an optimized crystal structure of K12Au6F, from the Alexandria database.

Geometry as extended XYZ:
```
19
Lattice="-6.939 4.945 -3.964 -5.174 -6.156 4.864 2.211 5.898 6.975" Properties=species:S:1:pos:R:3 pbc="T T T"
K -7.684 3.049 2.481
K -5.921 0.415 6.266
K -4.332 5.028 5.517
K -2.218 1.639 5.393
K -3.981 4.273 1.608
K -5.570 -0.341 2.357
K -4.852 -3.965 6.638
K -1.658 1.315 9.870
K -9.661 -2.219 1.910
K -5.050 8.653 1.236
K -8.244 3.373 -1.996
K -0.241 6.906 5.964
Au -8.618 0.244 3.979
Au -5.672 2.086 -0.219
Au -3.524 -1.568 4.658
Au -1.284 4.444 3.895
Au -4.230 2.602 8.093
Au -6.378 6.256 3.217
F 0.000 0.000 0.000
```

Summary:
raw formation energy: -8.39 eV per formula unit
final energy: -2.27 eV per atom